Material: Mn2AlNi
Method: DFT, GGA-PBE
State: relaxed

abc: 2.9384 4.0074 4.0841
angles: 90.00 90.00 90.00
Space group Pmmm (No. 47)
Unique sites:
1 Mn 0.0000 0.0000 0.0000 x1
2 Mn 0.5000 0.5000 0.0000 x1
3 Al 0.0000 0.5000 0.5000 x1
4 Ni 0.5000 0.0000 0.5000 x1

As for the crystal system: orthorhombic. The total DFT energy (no corrections) comes out at -7.160 eV/atom.